1.
The following is a DFT calculation (SCAN) of a PBEsol-optimized structure of SrCo3.

extended XYZ file:
```
4
Lattice="3.0022 0.0000 0.0000 0.0000 3.0022 0.0000 0.0000 0.0000 6.8746" Properties=species:S:1:pos:R:3 pbc="T T T"
Sr 0.0000 0.0000 0.0000
Co 0.0000 0.0000 3.4373
Co 1.5011 1.5011 2.2882
Co 1.5011 1.5011 4.5864
```

Summary:
Electronic total energy: -72.09 eV for the cell shown
Calculated formation energy: 524.1 meV per atom
ρ: 7.1 g/cm3
Symmetry: P4/mmm

2.
The following is a DFT calculation (SCAN) of a PBEsol-optimized structure of Ca2HPd.

extended XYZ file:
```
16
Lattice="6.6677 0.0000 0.0000 0.0000 6.6677 0.0000 0.0000 0.0000 7.2224" Properties=species:S:1:pos:R:3 pbc="T T T"
Ca 1.1991 5.0008 0.9028
Ca 1.6669 1.1991 6.3196
Ca 1.6669 2.1348 2.7084
Ca 2.1348 5.0008 4.5140
Ca 4.5329 1.6669 4.5140
Ca 5.0008 4.5329 2.7084
Ca 5.0008 5.4686 6.3196
Ca 5.4686 1.6669 0.9028
H 0.0000 0.0000 0.0000
H 0.0000 3.3338 1.8056
H 3.3338 0.0000 5.4168
H 3.3338 3.3338 3.6112
Pd 0.0000 0.0000 3.6112
Pd 0.0000 3.3338 5.4168
Pd 3.3338 0.0000 1.8056
Pd 3.3338 3.3338 0.0000
```

Summary:
Electronic total energy: -229.11 eV for the cell shown
ρ: 3.9 g/cm3
Symmetry: I-42d

3.
The following is a DFT calculation (SCAN) of a PBEsol-optimized structure of LiMnW2.

extended XYZ file:
```
4
Lattice="3.9098 0.0000 0.0000 0.0000 3.9098 0.0000 0.0000 0.0000 3.4097" Properties=species:S:1:pos:R:3 pbc="T T T"
Li 0.0000 0.0000 0.0000
Mn 1.9549 1.9549 0.0000
W 0.0000 1.9549 1.7048
W 1.9549 0.0000 1.7048
```

Summary:
Excess energy over the best structure of this formula in the dataset: 22.3 meV/atom
Electronic total energy: -158.01 eV for the cell shown
Calculated formation energy: 503.8 meV per atom
ρ: 13.7 g/cm3
Symmetry: P4/mmm

4.
The following is a DFT calculation (SCAN) of a PBEsol-optimized structure of Os2BrCl.

extended XYZ file:
```
8
Lattice="2.8071 0.0000 0.0000 0.0000 5.2030 0.0000 0.0000 0.0000 9.6337" Properties=species:S:1:pos:R:3 pbc="T T T"
Os 0.0000 0.0000 0.0000
Os 0.0000 2.6015 2.1098
Os 1.4036 0.0000 2.1098
Os 1.4036 2.6015 0.0000
Br 0.0000 0.0000 4.4174
Br 1.4036 2.6015 4.4174
Cl 0.0000 2.6015 7.6362
Cl 1.4036 0.0000 7.6362
```

Summary:
Formation energy (no corrections): 0.897 eV per atom
Excess energy over the best structure of this formula in the dataset: 0.0 meV/atom
Electronic total energy: -335.22 eV for the cell shown
ρ: 11.7 g/cm3
Symmetry: Cmm2

5.
The following is a DFT calculation (SCAN) of a PBEsol-optimized structure of Cr2RhW.

extended XYZ file:
```
8
Lattice="3.1865 0.0000 0.0000 0.0000 4.1003 0.0000 0.0000 0.0000 8.0482" Properties=species:S:1:pos:R:3 pbc="T T T"
Cr 0.0000 0.0000 1.9175
Cr 0.0000 0.0000 6.1306
Cr 1.5932 2.0501 2.1066
Cr 1.5932 2.0501 5.9416
Rh 0.0000 2.0501 0.0000
Rh 1.5932 0.0000 4.0241
W 0.0000 2.0501 4.0241
W 1.5932 0.0000 0.0000
```

Summary:
Excess energy over the best structure of this formula in the dataset: 160.6 meV/atom
Electronic total energy: -278.92 eV for the cell shown
Calculated formation energy: 192.2 meV per atom
ρ: 12.3 g/cm3
Symmetry: Immm

6.
The following is a DFT calculation (SCAN) of a PBEsol-optimized structure of AsOsRu2.

extended XYZ file:
```
16
Lattice="6.0714 0.0000 0.0000 0.0000 6.0714 0.0000 0.0000 0.0000 6.0714" Properties=species:S:1:pos:R:3 pbc="T T T"
As 0.0000 0.0000 0.0000
As 0.0000 3.0357 3.0357
As 3.0357 0.0000 3.0357
As 3.0357 3.0357 0.0000
Os 1.5179 1.5179 4.5536
Os 1.5179 4.5536 1.5179
Os 4.5536 1.5179 1.5179
Os 4.5536 4.5536 4.5536
Ru 0.0000 0.0000 3.0357
Ru 0.0000 3.0357 0.0000
Ru 1.5179 1.5179 1.5179
Ru 1.5179 4.5536 4.5536
Ru 3.0357 0.0000 0.0000
Ru 3.0357 3.0357 3.0357
Ru 4.5536 1.5179 4.5536
Ru 4.5536 4.5536 1.5179
```

Summary:
Electronic total energy: -639.93 eV for the cell shown
Calculated formation energy: 435.3 meV per atom
ρ: 13.9 g/cm3
Symmetry: F-43m

7.
The following is a DFT calculation (SCAN) of a PBEsol-optimized structure of BaSb3.

extended XYZ file:
```
8
Lattice="11.6666 0.0000 0.0000 0.0000 4.1467 0.0000 -2.3695 0.0000 5.3411" Properties=species:S:1:pos:R:3 pbc="T T T"
Ba 0.0000 0.0000 0.0000
Ba 5.8333 2.0734 0.0000
Sb -1.1847 2.0734 2.6706
Sb 0.9718 0.0000 3.4518
Sb 2.4920 2.0734 1.8893
Sb 4.6485 0.0000 2.6706
Sb 6.8051 2.0734 3.4518
Sb 8.3253 0.0000 1.8893
```

Summary:
Formation energy (no corrections): -0.543 eV per atom
Electronic total energy: -307.01 eV for the cell shown
ρ: 6.5 g/cm3
Symmetry: C2/m

8.
The following is a DFT calculation (SCAN) of a PBEsol-optimized structure of CdBiS2Cl.

extended XYZ file:
```
20
Lattice="9.3563 0.0000 0.0000 0.0000 3.9504 0.0000 0.0000 0.0000 12.5252" Properties=species:S:1:pos:R:3 pbc="T T T"
Cd 0.0327 0.9876 3.0038
Cd 4.6455 2.9628 9.2664
Cd 4.7108 0.9876 3.2588
Cd 9.3236 2.9628 9.5214
Bi 1.8830 2.9628 5.9904
Bi 2.7951 0.9876 12.2530
Bi 6.5612 2.9628 0.2722
Bi 7.4732 0.9876 6.5348
S 0.4966 0.9876 7.6471
S 2.3276 0.9876 4.1689
S 2.3505 2.9628 10.4315
S 4.1815 2.9628 1.3845
S 5.1747 0.9876 11.1407
S 7.0058 0.9876 2.0937
S 7.0286 2.9628 8.3563
S 8.8597 2.9628 4.8781
Cl 0.6816 2.9628 1.3082
Cl 3.9965 0.9876 7.5709
Cl 5.3597 2.9628 4.9544
Cl 8.6747 0.9876 11.2170
```

Summary:
Formation energy (no corrections): -0.693 eV per atom
Electronic total energy: -558.78 eV for the cell shown
ρ: 6.0 g/cm3
Symmetry: Pnma